No. 1
Pm6Cd2Au | PBE | optimized geometry

Calculated values
DFT formation energy ... -0.067 eV per atom
VASP energy ... -3.80 eV/atom

Lattice parameters (Å, degrees): 8.9913 8.9913 5.2167 106.75 106.75 48.62
Element x y z (fractional)
Pm1 0.0827 0.5936 0.3382
Pm2 0.2383 0.7617 0.0000
Pm3 0.4064 0.9173 0.6618
Pm4 0.5936 0.0827 0.3382
Pm5 0.7617 0.2383 0.0000
Pm6 0.9173 0.4064 0.6618
Cd1 0.3338 0.3338 0.8337
Cd2 0.6662 0.6662 0.1663
Au1 0.0000 0.0000 0.5000


No. 2
PmCd3Au4 | PBE | optimized geometry

Calculated values
DFT formation energy ... -0.395 eV per atom
VASP energy ... -2.97 eV/atom

Lattice parameters (Å, degrees): 8.7644 8.7644 8.7644 32.13 32.13 32.13
Element x y z (fractional)
Pm1 0.0000 0.0000 0.0000
Cd1 0.2489 0.2489 0.2489
Cd2 0.5000 0.5000 0.5000
Cd3 0.7511 0.7511 0.7511
Au1 0.1262 0.1262 0.1262
Au2 0.3852 0.3852 0.3852
Au3 0.6148 0.6148 0.6148
Au4 0.8738 0.8738 0.8738


No. 3
Pm3Cd4Au2 | PBE | optimized geometry

Calculated values
DFT formation energy ... -0.497 eV per atom
VASP energy ... -3.22 eV/atom

Lattice parameters (Å, degrees): 6.1018 6.1018 9.1692 116.86 116.86 47.76
Element x y z (fractional)
Pm1 0.0000 0.0000 0.0000
Pm2 0.3238 0.3238 0.3478
Pm3 0.6762 0.6762 0.6522
Cd1 0.0363 0.0363 0.3714
Cd2 0.2823 0.2823 0.9475
Cd3 0.7177 0.7177 0.0525
Cd4 0.9637 0.9637 0.6286
Au1 0.4005 0.4005 0.7321
Au2 0.5995 0.5995 0.2679


No. 4
Pm4Cd3Au5 | PBE | optimized geometry

Calculated values
DFT formation energy ... -0.342 eV per atom
VASP energy ... -3.52 eV/atom

Lattice parameters (Å, degrees): 3.8170 3.8170 20.9405 93.30 93.30 89.94
Element x y z (fractional)
Pm1 0.1385 0.1385 0.1403
Pm2 0.1971 0.1971 0.3254
Pm3 0.8029 0.8029 0.6746
Pm4 0.8615 0.8615 0.8597
Cd1 0.3346 0.3346 0.7738
Cd2 0.5000 0.5000 0.0000
Cd3 0.6654 0.6654 0.2262
Au1 0.0000 0.0000 0.0000
Au2 0.2408 0.2408 0.4687
Au3 0.2815 0.2815 0.6061
Au4 0.7185 0.7185 0.3939
Au5 0.7592 0.7592 0.5313


No. 5
Pm3CdAu3 | PBE | optimized geometry

Calculated values
DFT formation energy ... -0.482 eV per atom
VASP energy ... -4.05 eV/atom

Lattice parameters (Å, degrees): 9.0124 9.0124 5.9180 90.00 90.00 120.00
Element x y z (fractional)
Pm1 0.0462 0.6654 0.2500
Pm2 0.3346 0.3808 0.2500
Pm3 0.3808 0.0462 0.7500
Pm4 0.6192 0.9538 0.2500
Pm5 0.6654 0.6192 0.7500
Pm6 0.9538 0.3346 0.7500
Cd1 0.3333 0.6667 0.7500
Cd2 0.6667 0.3333 0.2500
Au1 0.0310 0.7015 0.7500
Au2 0.2985 0.3295 0.7500
Au3 0.3295 0.0310 0.2500
Au4 0.6705 0.9690 0.7500
Au5 0.7015 0.6705 0.2500
Au6 0.9690 0.2985 0.2500


No. 6
PmCd4Au | PBE | optimized geometry

Calculated values
DFT formation energy ... -0.211 eV per atom
E above lowest polymorph ... 98 meV per atom
VASP energy ... -2.16 eV/atom

Lattice parameters (Å, degrees): 8.1518 8.1518 5.4660 103.52 103.52 56.19
Element x y z (fractional)
Pm1 0.2100 0.2100 0.1464
Pm2 0.7900 0.7900 0.8536
Cd1 0.0625 0.6879 0.4276
Cd2 0.2054 0.7946 0.0000
Cd3 0.3121 0.9375 0.5724
Cd4 0.3443 0.3443 0.7336
Cd5 0.6557 0.6557 0.2664
Cd6 0.6879 0.0625 0.4276
Cd7 0.7946 0.2054 0.0000
Cd8 0.9375 0.3121 0.5724
Au1 0.4318 0.4318 0.2532
Au2 0.5682 0.5682 0.7468


No. 7
PmCd2Au9 | PBE | optimized geometry

Calculated values
DFT formation energy ... -0.229 eV per atom
VASP energy ... -3.24 eV/atom

Lattice parameters (Å, degrees): 9.7104 9.7104 9.7104 33.55 33.55 33.55
Element x y z (fractional)
Pm1 0.0000 0.0000 0.0000
Cd1 0.1437 0.1437 0.1437
Cd2 0.8563 0.8563 0.8563
Au1 0.0813 0.5876 0.5876
Au2 0.3332 0.3332 0.3332
Au3 0.4124 0.4124 0.9187
Au4 0.4124 0.9187 0.4124
Au5 0.5000 0.5000 0.5000
Au6 0.5876 0.0813 0.5876
Au7 0.5876 0.5876 0.0813
Au8 0.6668 0.6668 0.6668
Au9 0.9187 0.4124 0.4124


No. 8
Pm2Cd16Au | PBE | optimized geometry

Calculated values
DFT formation energy ... -0.163 eV per atom
VASP energy ... -1.61 eV/atom

Lattice parameters (Å, degrees): 7.6466 7.6466 7.6466 82.11 82.11 82.11
Element x y z (fractional)
Pm1 0.0000 0.0000 0.0000
Pm2 0.3440 0.3440 0.3440
Cd1 0.0351 0.0351 0.5085
Cd2 0.0351 0.5085 0.0351
Cd3 0.1676 0.6765 0.6765
Cd4 0.3144 0.3144 0.8296
Cd5 0.3144 0.8296 0.3144
Cd6 0.3752 0.6742 0.9719
Cd7 0.3752 0.9719 0.6742
Cd8 0.5085 0.0351 0.0351
Cd9 0.5814 0.5814 0.5814
Cd10 0.6742 0.3752 0.9719
Cd11 0.6742 0.9719 0.3752
Cd12 0.6765 0.1676 0.6765
Cd13 0.6765 0.6765 0.1676
Cd14 0.8296 0.3144 0.3144
Cd15 0.9719 0.3752 0.6742
Cd16 0.9719 0.6742 0.3752
Au1 0.7870 0.7870 0.7870


No. 9
PmCd9Au2 | PBE | optimized geometry

Calculated values
DFT formation energy ... -0.200 eV per atom
VASP energy ... -1.83 eV/atom

Lattice parameters (Å, degrees): 9.2086 9.2086 9.2086 99.70 99.70 131.54
Element x y z (fractional)
Pm1 0.3750 0.6250 0.7500
Pm2 0.6250 0.3750 0.2500
Cd1 0.1228 0.5531 0.3291
Cd2 0.1228 0.7937 0.5697
Cd3 0.1250 0.8750 0.2500
Cd4 0.2063 0.2760 0.3291
Cd5 0.2063 0.8772 0.9303
Cd6 0.2760 0.2063 0.8291
Cd7 0.2760 0.4469 0.0697
Cd8 0.4469 0.2760 0.5697
Cd9 0.4469 0.8772 0.1709
Cd10 0.5531 0.1228 0.8291
Cd11 0.5531 0.7240 0.4303
Cd12 0.7240 0.5531 0.9303
Cd13 0.7240 0.7937 0.1709
Cd14 0.7937 0.1228 0.0697
Cd15 0.7937 0.7240 0.6709
Cd16 0.8750 0.1250 0.7500
Cd17 0.8772 0.2063 0.4303
Cd18 0.8772 0.4469 0.6709
Au1 0.0000 0.0000 0.0000
Au2 0.0000 0.0000 0.5000
Au3 0.0000 0.5000 0.0000
Au4 0.5000 0.0000 0.5000


No. 10
Pm8Cd2Au | PBE | optimized geometry

Calculated values
DFT formation energy ... -0.208 eV per atom
VASP energy ... -4.13 eV/atom

Lattice parameters (Å, degrees): 9.6692 9.6692 7.0229 103.20 103.20 32.03
Element x y z (fractional)
Pm1 0.0194 0.0194 0.2686
Pm2 0.2020 0.2020 0.8014
Pm3 0.3424 0.3424 0.5360
Pm4 0.4083 0.4083 0.0481
Pm5 0.5917 0.5917 0.9519
Pm6 0.6576 0.6576 0.4640
Pm7 0.7980 0.7980 0.1986
Pm8 0.9806 0.9806 0.7314
Cd1 0.1869 0.1869 0.2314
Cd2 0.8131 0.8131 0.7686
Au1 0.5000 0.5000 0.5000


No. 11
Pm2Cd5Au3 | PBE | optimized geometry

Calculated values
DFT formation energy ... -0.406 eV per atom
E above lowest polymorph ... 37 meV per atom
VASP energy ... -2.80 eV/atom

Lattice parameters (Å, degrees): 6.0752 8.9722 8.9729 92.39 101.60 101.64
Element x y z (fractional)
Pm1 0.1721 0.3851 0.3897
Pm2 0.3281 0.1100 0.1149
Pm3 0.6719 0.8900 0.8851
Pm4 0.8279 0.6149 0.6103
Cd1 0.0097 0.7473 0.2600
Cd2 0.1745 0.7410 0.9685
Cd3 0.2500 0.0269 0.4731
Cd4 0.3250 0.5313 0.7583
Cd5 0.4904 0.2400 0.7530
Cd6 0.5096 0.7600 0.2470
Cd7 0.6750 0.4687 0.2417
Cd8 0.7500 0.9731 0.5269
Cd9 0.8255 0.2590 0.0315
Cd10 0.9903 0.2527 0.7400
Au1 0.1461 0.9637 0.7688
Au2 0.2508 0.4437 0.0557
Au3 0.3539 0.7312 0.5360
Au4 0.6461 0.2688 0.4640
Au5 0.7492 0.5563 0.9443
Au6 0.8539 0.0363 0.2312


No. 12
Pm8CdAu2 | PBE | optimized geometry

Calculated values
DFT formation energy ... -0.325 eV per atom
VASP energy ... -4.46 eV/atom

Lattice parameters (Å, degrees): 9.6459 9.6459 7.1995 106.36 106.36 31.50
Element x y z (fractional)
Pm1 0.0281 0.0281 0.2648
Pm2 0.1956 0.1956 0.8279
Pm3 0.3285 0.3285 0.5212
Pm4 0.4086 0.4086 0.0309
Pm5 0.5914 0.5914 0.9691
Pm6 0.6715 0.6715 0.4788
Pm7 0.8044 0.8044 0.1721
Pm8 0.9719 0.9719 0.7352
Cd1 0.5000 0.5000 0.5000
Au1 0.1822 0.1822 0.2275
Au2 0.8178 0.8178 0.7725


Among the records above, which one has the highest VASP energy? Pm2Cd16Au